(1)
AgSn3Pb, optimized geometry, DFT PBE-GGA; ΔE_f = 0.36 eV per atom
1.0
5.395 0.000 0.000
0.000 5.395 0.000
0.000 0.000 5.395
Sn Pb Ag
3 1 1
Direct
0.500 0.000 0.000 Sn
0.000 0.500 0.000 Sn
0.000 0.000 0.500 Sn
0.500 0.500 0.500 Pb
0.000 0.000 0.000 Ag



(2)
SrBeCu2, optimized geometry, DFT PBE-GGA; ΔE_f = 0.26 eV per atom
1.0
3.751 0.000 0.000
0.000 3.487 0.013
0.000 1.384 5.831
Cu Sr Be
2 1 1
Direct
0.000 0.936 0.899 Cu
0.000 0.564 0.601 Cu
0.500 0.250 0.250 Sr
0.500 0.750 0.750 Be